# 1
# In3H2Pt9

Crystalline In3H2Pt9 at its relaxed geometry (GGA-PBE, Alexandria).

Computed properties:
V: 14.7 Å³ per atom
E_tot: -5.246 eV/atom
spin magnetization: 0.000 μB/atom

Structure (CIF):
```
data_In3H2Pt9
_chemical_formula_sum 'In6 H4 Pt18'
_space_group_name_H-M_alt 'P 63/m m c'
_space_group_IT_number 194
_space_group_name_Hall '-P 6c 2c'
_cell_length_a 5.7785
_cell_length_b 5.7785
_cell_length_c 14.2563
_cell_angle_alpha 90.00
_cell_angle_beta 90.00
_cell_angle_gamma 120.00
loop_
_atom_site_label
_atom_site_type_symbol
_atom_site_fract_x
_atom_site_fract_y
_atom_site_fract_z
_atom_site_occupancy
In1 In 0.0000 0.0000 0.2500 1
In2 In 0.3333 0.6667 0.0873 1
H1 H 0.3333 0.6667 0.6298 1
Pt1 Pt 0.0042 0.5021 0.7500 1
Pt2 Pt 0.1627 0.3254 0.5817 1
```

---

# 2
# In2HPt5

Crystalline In2HPt5 at its relaxed geometry (GGA-PBE, Alexandria).

Computed properties:
V: 16.2 Å³ per atom
E_tot: -5.202 eV/atom
spin magnetization: 0.000 μB/atom

Structure (CIF):
```
data_In2HPt5
_chemical_formula_sum 'In4 H2 Pt10'
_space_group_name_H-M_alt 'I 4 m m'
_space_group_IT_number 107
_space_group_name_Hall 'I 4 -2'
_cell_length_a 5.633
_cell_length_b 5.633
_cell_length_c 8.167
_cell_angle_alpha 90.00
_cell_angle_beta 90.00
_cell_angle_gamma 90.00
loop_
_atom_site_label
_atom_site_type_symbol
_atom_site_fract_x
_atom_site_fract_y
_atom_site_fract_z
_atom_site_occupancy
In1 In 0.000 0.500 0.000 1
H1 H 0.000 0.000 0.276 1
Pt1 Pt 0.000 0.000 0.993 1
Pt2 Pt 0.249 0.249 0.749 1
```

---

# 3
# In2HPt

Crystalline In2HPt at its relaxed geometry (GGA-PBE, Alexandria).

Computed properties:
V: 21.0 Å³ per atom
relative energy among the computed polymorphs: 71 meV/atom
spin magnetization: 0.000 μB/atom

Structure (CIF):
```
data_In2HPt
_chemical_formula_sum 'In8 H4 Pt4'
_space_group_name_H-M_alt 'I -4 2 d'
_space_group_IT_number 122
_space_group_name_Hall 'I -4 2bw'
_cell_length_a 5.213
_cell_length_b 5.213
_cell_length_c 12.390
_cell_angle_alpha 90.00
_cell_angle_beta 90.00
_cell_angle_gamma 90.00
loop_
_atom_site_label
_atom_site_type_symbol
_atom_site_fract_x
_atom_site_fract_y
_atom_site_fract_z
_atom_site_occupancy
In1 In 0.177 0.250 0.125 1
H1 H 0.000 0.000 0.000 1
Pt1 Pt 0.000 0.000 0.500 1
```

---

# 4
# In2H2Pt

Crystalline In2H2Pt at its relaxed geometry (GGA-PBE, Alexandria).

Computed properties:
V: 14.7 Å³ per atom
relative energy among the computed polymorphs: 0 meV/atom
spin magnetization: 0.000 μB/atom

Structure (CIF):
```
data_In2H2Pt
_chemical_formula_sum 'In4 H4 Pt2'
_space_group_name_H-M_alt 'P 4/m b m'
_space_group_IT_number 127
_space_group_name_Hall '-P 4 2ab'
_cell_length_a 5.630
_cell_length_b 5.630
_cell_length_c 4.633
_cell_angle_alpha 90.00
_cell_angle_beta 90.00
_cell_angle_gamma 90.00
loop_
_atom_site_label
_atom_site_type_symbol
_atom_site_fract_x
_atom_site_fract_y
_atom_site_fract_z
_atom_site_occupancy
In1 In 0.188 0.312 0.000 1
H1 H 0.243 0.257 0.500 1
Pt1 Pt 0.000 0.000 0.500 1
```

---

# 5
# In2HPt

Crystalline In2HPt at its relaxed geometry (GGA-PBE, Alexandria).

Computed properties:
V: 17.0 Å³ per atom
relative energy among the computed polymorphs: 0 meV/atom
spin magnetization: 0.000 μB/atom

Structure (CIF):
```
data_In2HPt
_chemical_formula_sum 'In8 H4 Pt4'
_space_group_name_H-M_alt 'F m -3 m'
_space_group_IT_number 225
_space_group_name_Hall '-F 4 2 3'
_cell_length_a 6.484
_cell_length_b 6.484
_cell_length_c 6.484
_cell_angle_alpha 90.00
_cell_angle_beta 90.00
_cell_angle_gamma 90.00
loop_
_atom_site_label
_atom_site_type_symbol
_atom_site_fract_x
_atom_site_fract_y
_atom_site_fract_z
_atom_site_occupancy
In1 In 0.250 0.250 0.250 1
H1 H 0.000 0.000 0.000 1
Pt1 Pt 0.000 0.000 0.500 1
```

---

# 6
# InH3Pt

Crystalline InH3Pt at its relaxed geometry (GGA-PBE, Alexandria).

Computed properties:
V: 11.4 Å³ per atom
E_tot: -2.784 eV/atom
spin magnetization: 0.000 μB/atom

Structure (CIF):
```
data_InH3Pt
_chemical_formula_sum 'In1 H3 Pt1'
_space_group_name_H-M_alt 'P m -3 m'
_space_group_IT_number 221
_space_group_name_Hall '-P 4 2 3'
_cell_length_a 3.851
_cell_length_b 3.851
_cell_length_c 3.851
_cell_angle_alpha 90.00
_cell_angle_beta 90.00
_cell_angle_gamma 90.00
loop_
_atom_site_label
_atom_site_type_symbol
_atom_site_fract_x
_atom_site_fract_y
_atom_site_fract_z
_atom_site_occupancy
In1 In 0.000 0.000 0.000 1
H1 H 0.000 0.000 0.500 1
Pt1 Pt 0.500 0.500 0.500 1
```

---

# 7
# In3HPt

Crystalline In3HPt at its relaxed geometry (GGA-PBE, Alexandria).

Computed properties:
V: 18.5 Å³ per atom
relative energy among the computed polymorphs: 85 meV/atom
spin magnetization: 0.000 μB/atom

Structure (CIF):
```
data_In3HPt
_chemical_formula_sum 'In3 H1 Pt1'
_space_group_name_H-M_alt 'P m -3 m'
_space_group_IT_number 221
_space_group_name_Hall '-P 4 2 3'
_cell_length_a 4.527
_cell_length_b 4.527
_cell_length_c 4.527
_cell_angle_alpha 90.00
_cell_angle_beta 90.00
_cell_angle_gamma 90.00
loop_
_atom_site_label
_atom_site_type_symbol
_atom_site_fract_x
_atom_site_fract_y
_atom_site_fract_z
_atom_site_occupancy
In1 In 0.000 0.000 0.500 1
H1 H 0.000 0.000 0.000 1
Pt1 Pt 0.500 0.500 0.500 1
```

---

# 8
# InH2Pt

Crystalline InH2Pt at its relaxed geometry (GGA-PBE, Alexandria).

Computed properties:
V: 11.4 Å³ per atom
relative energy among the computed polymorphs: 551 meV/atom
spin magnetization: 0.000 μB/atom

Structure (CIF):
```
data_InH2Pt
_chemical_formula_sum 'In4 H8 Pt4'
_space_group_name_H-M_alt 'F m -3 m'
_space_group_IT_number 225
_space_group_name_Hall '-F 4 2 3'
_cell_length_a 5.666
_cell_length_b 5.666
_cell_length_c 5.666
_cell_angle_alpha 90.00
_cell_angle_beta 90.00
_cell_angle_gamma 90.00
loop_
_atom_site_label
_atom_site_type_symbol
_atom_site_fract_x
_atom_site_fract_y
_atom_site_fract_z
_atom_site_occupancy
In1 In 0.000 0.000 0.000 1
H1 H 0.250 0.250 0.250 1
Pt1 Pt 0.000 0.000 0.500 1
```

---

# 9
# In2HPt3

Crystalline In2HPt3 at its relaxed geometry (GGA-PBE, Alexandria).

Computed properties:
V: 16.3 Å³ per atom
E_tot: -4.760 eV/atom
spin magnetization: 0.000 μB/atom

Structure (CIF):
```
data_In2HPt3
_chemical_formula_sum 'In16 H8 Pt24'
_space_group_name_H-M_alt 'F m m m'
_space_group_IT_number 69
_space_group_name_Hall '-F 2 2'
_cell_length_a 7.291
_cell_length_b 7.975
_cell_length_c 13.462
_cell_angle_alpha 90.00
_cell_angle_beta 90.00
_cell_angle_gamma 90.00
loop_
_atom_site_label
_atom_site_type_symbol
_atom_site_fract_x
_atom_site_fract_y
_atom_site_fract_z
_atom_site_occupancy
In1 In 0.211 0.000 0.000 1
In2 In 0.250 0.250 0.250 1
H1 H 0.000 0.000 0.316 1
Pt1 Pt 0.000 0.000 0.175 1
Pt2 Pt 0.000 0.178 0.399 1
```

---

# 10
# In2H2Pt

Crystalline In2H2Pt at its relaxed geometry (GGA-PBE, Alexandria).

Computed properties:
V: 13.8 Å³ per atom
relative energy among the computed polymorphs: 5 meV/atom
spin magnetization: 0.000 μB/atom

Structure (CIF):
```
data_In2H2Pt
_chemical_formula_sum 'In4 H4 Pt2'
_space_group_name_H-M_alt 'I 4/m m m'
_space_group_IT_number 139
_space_group_name_Hall '-I 4 2'
_cell_length_a 3.251
_cell_length_b 3.251
_cell_length_c 13.030
_cell_angle_alpha 90.00
_cell_angle_beta 90.00
_cell_angle_gamma 90.00
loop_
_atom_site_label
_atom_site_type_symbol
_atom_site_fract_x
_atom_site_fract_y
_atom_site_fract_z
_atom_site_occupancy
In1 In 0.000 0.000 0.133 1
H1 H 0.000 0.500 0.250 1
Pt1 Pt 0.000 0.000 0.500 1
```

---

# 11
# InH2Pt

Crystalline InH2Pt at its relaxed geometry (GGA-PBE, Alexandria).

Computed properties:
V: 13.4 Å³ per atom
relative energy among the computed polymorphs: 0 meV/atom
spin magnetization: 0.000 μB/atom

Structure (CIF):
```
data_InH2Pt
_chemical_formula_sum 'In4 H8 Pt4'
_space_group_name_H-M_alt 'I -4 2 d'
_space_group_IT_number 122
_space_group_name_Hall 'I -4 2bw'
_cell_length_a 5.075
_cell_length_b 5.075
_cell_length_c 8.320
_cell_angle_alpha 90.00
_cell_angle_beta 90.00
_cell_angle_gamma 90.00
loop_
_atom_site_label
_atom_site_type_symbol
_atom_site_fract_x
_atom_site_fract_y
_atom_site_fract_z
_atom_site_occupancy
In1 In 0.000 0.000 0.000 1
H1 H 0.103 0.250 0.625 1
Pt1 Pt 0.000 0.000 0.500 1
```

---

# 12
# InHPt2

Crystalline InHPt2 at its relaxed geometry (GGA-PBE, Alexandria).

Computed properties:
V: 14.1 Å³ per atom
relative energy among the computed polymorphs: 0 meV/atom
spin magnetization: 0.000 μB/atom

Structure (CIF):
```
data_InHPt2
_chemical_formula_sum 'In4 H4 Pt8'
_space_group_name_H-M_alt 'I -4 2 d'
_space_group_IT_number 122
_space_group_name_Hall 'I -4 2bw'
_cell_length_a 6.269
_cell_length_b 6.269
_cell_length_c 5.721
_cell_angle_alpha 90.00
_cell_angle_beta 90.00
_cell_angle_gamma 90.00
loop_
_atom_site_label
_atom_site_type_symbol
_atom_site_fract_x
_atom_site_fract_y
_atom_site_fract_z
_atom_site_occupancy
In1 In 0.000 0.000 0.000 1
H1 H 0.000 0.000 0.500 1
Pt1 Pt 0.139 0.250 0.625 1
```